Compound: MnB3O
Source: the Alexandria database
Functional: PBE+U
Structure: relaxed

a = 3.4956 Å, b = 3.4956 Å, c = 3.4956 Å
α = 90.00°, β = 90.00°, γ = 90.00°
With the nearest neighbours (Å) after each atom.
Sites, in units of the cell vectors:
O 0.0000 0.0000 0.0000  6 B 1.75
B 0.5000 0.0000 0.0000  2 O 1.75
B 0.0000 0.0000 0.5000  2 O 1.75
B 0.0000 0.5000 0.0000  2 O 1.75
Mn 0.5000 0.5000 0.5000  12 B 2.47

## Properties
- E_tot: -24.71 eV/f.u.